Computed, not measured: crystalline MnCo3 at its relaxed geometry at the PBE level of DFT.

CIF file:
```
data_MnCo3
_chemical_formula_sum 'Mn1 Co3'
_cell_length_a 3.520
_cell_length_b 3.520
_cell_length_c 3.520
_cell_angle_alpha 90.00
_cell_angle_beta 90.00
_cell_angle_gamma 90.00
_space_group_name_H-M_alt 'P 1'
_space_group_IT_number 1
loop_
_space_group_symop_operation_xyz
'x,y,z'
loop_
_atom_site_label
_atom_site_fract_x
_atom_site_fract_y
_atom_site_fract_z
_atom_site_occupancy
Co1 0.500 0.000 0.000 1
Co2 0.000 0.000 0.500 1
Co3 0.000 0.500 0.000 1
Mn1 0.500 0.500 0.500 1
```

Output
V	44	Å³/cell
total moment	0.134	Bohr magnetons per cell
formation energy from the elements	0.04	eV/atom